# 1
Ca2AgHPd: optimized geometry, PBE. Values from VASP.

Output
SG: P4/mmm
Mass density: 5.1 g/cm3
DFT total energy: -3.4959 eV/atom
M_tot: 0.0 μB per cell
Distance to the lowest polymorph of the same formula: 0.070 eV per atom

Geometry as Quantum ESPRESSO input:
```
&SYSTEM
  ibrav = 0, nat = 5, ntyp = 4
/
ATOMIC_SPECIES
Ca 40.08 Ca.upf
Ag 107.87 Ag.upf
H 1.01 H.upf
Pd 106.42 Pd.upf
ATOMIC_POSITIONS crystal
Ca 0.000 0.500 0.000
Ca 0.500 0.000 0.000
Ag 0.000 0.000 0.500
H 0.000 0.000 0.000
Pd 0.500 0.500 0.500
CELL_PARAMETERS angstrom
4.998 0.000 0.000
0.000 4.998 0.000
0.000 0.000 3.852
```

# 2
Tb2Er2In: optimized geometry, PBE. Values from VASP.

Output
Energy relative to the elements: 0.04 eV/atom
SG: P4/mbm
Mass density: 8.3 g/cm3
DFT total energy: -4.1846 eV/atom
M_tot: 0.0 μB per cell
Distance to the lowest polymorph of the same formula: 0.000 eV per atom

Geometry as Quantum ESPRESSO input:
```
&SYSTEM
  ibrav = 0, nat = 10, ntyp = 3
/
ATOMIC_SPECIES
Tb 158.93 Tb.upf
Er 167.26 Er.upf
In 114.82 In.upf
ATOMIC_POSITIONS crystal
Tb 0.148 0.352 0.000
Tb 0.352 0.852 0.000
Tb 0.648 0.148 0.000
Tb 0.852 0.648 0.000
Er 0.152 0.652 0.500
Er 0.348 0.152 0.500
Er 0.652 0.848 0.500
Er 0.848 0.348 0.500
In 0.000 0.000 0.000
In 0.500 0.500 0.000
CELL_PARAMETERS angstrom
8.195 0.000 0.000
0.000 8.195 0.000
0.000 0.000 4.560
```

# 3
In2MoPAu: optimized geometry, PBE. Values from VASP.

Output
Energy relative to the elements: 1.18 eV/atom
SG: P4/mmm
Mass density: 6.5 g/cm3
DFT total energy: -3.8183 eV/atom
M_tot: 1.8 μB per cell

Geometry as Quantum ESPRESSO input:
```
&SYSTEM
  ibrav = 0, nat = 5, ntyp = 4
/
ATOMIC_SPECIES
In 114.82 In.upf
Mo 95.94 Mo.upf
P 30.97 P.upf
Au 196.97 Au.upf
ATOMIC_POSITIONS crystal
In 0.000 0.500 0.000
In 0.500 0.000 0.000
Mo 0.000 0.000 0.000
P 0.500 0.500 0.500
Au 0.000 0.000 0.500
CELL_PARAMETERS angstrom
5.339 0.000 0.000
0.000 5.339 0.000
0.000 0.000 4.991
```